12
Lattice="-2.490 0.800 4.773 2.686 -0.878 4.652 2.818 8.466 3.155" Properties=species:S:1:pos:R:3 comment="PBE CeSm2Pt9, relaxed" e_tot_ev_per_atom=-6.744 magnetic_moment_mub_per_fu=0.5 dos_at_fermi_per_ev_fu=12.8 volume_a3_per_atom=19.1 formation_energy_ev_per_atom=-0.93 space_group="R-3m (166)" crystal_system=trigonal pbc="T T T"
Ce 0.000 0.000 0.000
Sm 1.348 3.478 9.431
Sm 1.665 4.910 3.149
Pt 2.945 8.403 9.439
Pt 0.069 -0.015 3.142
Pt 1.507 4.194 6.290
Pt 0.799 2.125 4.699
Pt -0.460 2.529 7.112
Pt 2.157 1.681 7.050
Pt 2.215 6.263 7.881
Pt 0.857 6.707 5.530
Pt 3.473 5.859 5.469

=====

4
Lattice="-0.536 -3.095 -1.979 -1.593 -2.959 1.577 -9.926 1.413 -3.003" Properties=species:S:1:pos:R:3 comment="PBE Ce2SmPt, relaxed" e_tot_ev_per_atom=-5.863 magnetic_moment_mub_per_fu=2.3 dos_at_fermi_per_ev_fu=10.1 e_above_lowest_polymorph_mev_per_atom=337.4 volume_a3_per_atom=30.6 formation_energy_ev_per_atom=-0.21 space_group="R-3m (166)" crystal_system=trigonal pbc="T T T"
Ce -7.029 0.335 -2.101
Ce -5.026 -4.975 -1.303
Sm 0.000 0.000 0.000
Pt -6.028 -2.320 -1.702

=====

10
Lattice="-1.927 -3.231 0.953 6.933 -3.972 0.550 0.517 1.975 7.745" Properties=species:S:1:pos:R:3 comment="PBE Ce2SmPt2, relaxed" e_tot_ev_per_atom=-6.621 magnetic_moment_mub_per_fu=1.3 dos_at_fermi_per_ev_fu=11.7 e_above_lowest_polymorph_mev_per_atom=0.0 volume_a3_per_atom=24.9 formation_energy_ev_per_atom=-0.89 space_group="P4/mbm (127)" crystal_system=tetragonal pbc="T T T"
Ce 4.782 -1.978 2.962
Ce 6.223 -1.668 6.929
Ce 1.228 -0.329 1.367
Ce 2.668 -0.018 5.333
Sm 2.503 -3.602 0.752
Sm -0.705 -0.628 4.349
Pt 1.761 -2.346 3.510
Pt 5.108 -4.789 1.993
Pt 0.415 -0.439 7.255
Pt 3.762 -2.882 5.738

=====

4
Lattice="-2.662 -1.506 -4.290 2.606 -1.567 -4.302 -0.062 -5.075 -1.415" Properties=species:S:1:pos:R:3 comment="PBE CeSmTlPt, relaxed" e_tot_ev_per_atom=-5.312 magnetic_moment_mub_per_fu=0.7 dos_at_fermi_per_ev_fu=7.6 volume_a3_per_atom=25.9 formation_energy_ev_per_atom=-0.55 space_group="F-43m (216)" crystal_system=cubic pbc="T T T"
Tl -0.029 -2.037 -2.502
Ce 0.000 0.000 0.000
Sm -0.059 -4.074 -5.004
Pt -0.088 -6.111 -7.506

=====

12
Lattice="-4.000 -0.391 -5.316 -2.702 -5.631 2.448 -1.611 6.892 4.882" Properties=species:S:1:pos:R:3 comment="PBE CeSm2TmPt2, relaxed" e_tot_ev_per_atom=-6.092 magnetic_moment_mub_per_fu=0.5 dos_at_fermi_per_ev_fu=9.7 volume_a3_per_atom=26.8 formation_energy_ev_per_atom=-0.77 space_group="Ibam (72)" crystal_system=orthorhombic pbc="T T T"
Ce -1.000 -0.098 -1.329
Ce -3.000 -0.294 -3.987
Sm -5.888 -2.943 0.470
Sm -2.552 0.038 1.917
Sm -5.762 0.831 0.097
Sm -2.425 3.812 1.544
Tm -4.351 -3.109 -2.763
Tm -2.351 -2.914 -0.105
Pt -4.468 1.594 3.244
Pt -3.846 -0.725 -1.230
Pt -3.172 -3.292 2.629
Pt -5.142 4.161 -0.615

=====

7
Lattice="5.696 -0.201 -0.273 -1.497 5.500 -0.273 -1.497 -1.889 5.172" Properties=species:S:1:pos:R:3 comment="PBE CeSn3Pt3, relaxed" e_tot_ev_per_atom=-5.690 magnetic_moment_mub_per_fu=0.5 dos_at_fermi_per_ev_fu=6.0 volume_a3_per_atom=22.1 formation_energy_ev_per_atom=-0.54 space_group="R3m (160)" crystal_system=trigonal pbc="T T T"
Ce 2.534 3.198 4.339
Sn 2.062 2.601 0.733
Sn 2.062 -0.071 2.702
Sn -0.540 1.991 2.702
Pt 2.683 -0.006 -0.008
Pt -0.619 -0.781 2.491
Pt -0.619 2.610 -0.008

=====

10
Lattice="4.551 -0.001 0.000 0.002 6.871 0.000 0.000 0.000 8.224" Properties=species:S:1:pos:R:3 comment="PBE CeSn3Pt, relaxed" e_tot_ev_per_atom=-5.284 magnetic_moment_mub_per_fu=0.8 dos_at_fermi_per_ev_fu=5.7 volume_a3_per_atom=25.7 formation_energy_ev_per_atom=-0.49 space_group="Pmmn (59)" crystal_system=orthorhombic pbc="T T T"
Ce 3.414 1.717 1.839
Ce 1.139 5.153 6.385
Sn 3.415 5.153 0.458
Sn 1.138 1.718 7.766
Sn 3.414 0.174 5.330
Sn 3.414 3.260 5.330
Sn 1.139 6.696 2.894
Sn 1.139 3.610 2.894
Pt 3.415 5.153 3.183
Pt 1.138 1.718 5.041

=====

17
Lattice="-2.594 6.320 -4.610 -4.198 -6.793 -2.039 -1.248 1.715 7.964" Properties=species:S:1:pos:R:3 comment="PBE CeSn12Pt4, relaxed" e_tot_ev_per_atom=-5.008 magnetic_moment_mub_per_fu=1.1 dos_at_fermi_per_ev_fu=14.9 volume_a3_per_atom=25.4 formation_energy_ev_per_atom=-0.41 space_group="Im-3 (204)" crystal_system=cubic pbc="T T T"
Ce 0.000 0.000 0.000
Sn -3.857 3.311 -3.107
Sn -3.189 -0.963 -1.347
Sn -3.596 5.204 1.155
Sn -2.720 2.353 4.749
Sn -4.445 -3.962 0.160
Sn -4.852 2.205 2.662
Sn -2.389 2.682 0.102
Sn -5.652 -1.440 1.213
Sn -5.321 -1.112 -3.434
Sn -5.567 1.717 -1.246
Sn -2.474 -0.475 2.562
Sn -4.184 -2.070 4.422
Pt -2.099 -3.397 -1.019
Pt -1.297 3.160 -2.305
Pt -4.020 0.621 0.658
Pt -0.624 0.857 3.982

=====

11
Lattice="5.356 0.637 0.000 1.149 8.299 0.000 0.575 4.149 6.806" Properties=species:S:1:pos:R:3 comment="PBE Ce8SnPt2, relaxed" e_tot_ev_per_atom=-6.238 magnetic_moment_mub_per_fu=4.5 dos_at_fermi_per_ev_fu=32.7 volume_a3_per_atom=27.1 formation_energy_ev_per_atom=-0.46 space_group="C2/m (12)" crystal_system=monoclinic pbc="T T T"
Ce 5.209 2.080 1.414
Ce 5.784 6.229 5.392
Ce 2.193 3.594 0.000
Ce 3.827 8.617 3.372
Ce 3.253 4.468 3.435
Ce 4.313 5.341 0.000
Ce 1.296 6.856 1.414
Ce 1.871 11.005 5.392
Sn 2.678 0.318 0.000
Pt 0.575 4.149 2.607
Pt 1.149 8.299 4.199

=====

9
Lattice="-1.344 5.793 1.764 -4.669 -1.924 2.758 0.370 -1.594 5.516" Properties=species:S:1:pos:R:3 comment="PBE Ce2SnPt6, relaxed" e_tot_ev_per_atom=-6.665 magnetic_moment_mub_per_fu=1.1 dos_at_fermi_per_ev_fu=10.9 volume_a3_per_atom=19.8 formation_energy_ev_per_atom=-0.87 space_group="P-3m1 (164)" crystal_system=trigonal pbc="T T T"
Ce -3.959 2.371 6.951
Ce -1.683 -0.096 3.086
Sn 0.000 0.000 0.000
Pt -1.765 -0.125 6.083
Pt -3.977 -1.038 7.390
Pt -4.153 -0.282 4.776
Pt -3.878 2.400 3.954
Pt -1.665 3.313 2.647
Pt -1.490 2.556 5.261

=====

13
Lattice="-3.250 2.550 -1.705 0.315 -2.229 -3.934 -11.772 -11.340 5.482" Properties=species:S:1:pos:R:3 comment="PBE Ce4Sn8Pt, relaxed" e_tot_ev_per_atom=-5.361 magnetic_moment_mub_per_fu=2.6 dos_at_fermi_per_ev_fu=21.8 volume_a3_per_atom=26.9 formation_energy_ev_per_atom=-0.61 space_group="Pmm2 (25)" crystal_system=orthorhombic pbc="T T T"
Ce -1.092 -1.052 0.509
Ce -7.015 -8.023 1.373
Ce -6.110 -4.311 -0.657
Ce -12.195 -8.906 4.070
Sn -5.492 -5.290 2.558
Sn -10.805 -11.674 3.138
Sn -2.072 -0.422 -2.538
Sn -8.450 -5.299 2.326
Sn -2.539 -3.712 -0.711
Sn -8.870 -8.544 4.130
Sn -4.303 -1.304 0.395
Sn -10.359 -8.404 1.321
Pt -3.705 -3.569 1.726

=====

32
Lattice="-0.761 5.175 -3.006 -7.059 1.478 4.332 8.300 7.577 10.940" Properties=species:S:1:pos:R:3 comment="PBE Ce3Sn3Pt2, relaxed" e_tot_ev_per_atom=-6.097 magnetic_moment_mub_per_fu=2.0 dos_at_fermi_per_ev_fu=15.9 volume_a3_per_atom=24.9 formation_energy_ev_per_atom=-0.86 space_group="Pnma (62)" crystal_system=orthorhombic pbc="T T T"
Ce -0.129 4.242 5.964
Ce 4.347 7.833 4.958
Ce 2.959 12.132 9.399
Ce -6.217 4.251 4.211
Ce 0.609 9.987 6.301
Ce -3.867 6.397 7.308
Ce -2.479 2.097 2.867
Ce 6.697 9.978 8.055
Ce -0.756 5.697 2.249
Ce 4.933 6.655 8.512
Ce 1.236 8.533 10.017
Ce -4.453 7.574 3.754
Sn 0.672 2.890 3.110
Sn 3.505 9.461 7.652
Sn -0.192 11.340 9.156
Sn -3.025 4.768 4.614
Sn 1.197 7.075 4.608
Sn 3.040 4.866 6.392
Sn 2.823 10.385 12.324
Sn -6.100 6.132 1.208
Sn -0.717 7.154 7.658
Sn -2.560 9.363 5.874
Sn -2.343 3.844 -0.058
Sn 6.580 8.098 11.058
Pt 1.849 7.575 1.995
Pt 1.972 7.194 7.362
Pt 0.863 8.692 13.212
Pt -3.724 4.998 1.963
Pt -1.369 6.654 10.271
Pt -1.492 7.035 4.904
Pt -0.383 5.538 -0.946
Pt 4.204 9.231 10.303

=====

20
Lattice="-0.536 2.563 4.987 -8.604 -2.446 0.331 2.712 -8.654 6.526" Properties=species:S:1:pos:R:3 comment="PBE Ce6Sn3Pt, relaxed" e_tot_ev_per_atom=-5.877 magnetic_moment_mub_per_fu=5.5 dos_at_fermi_per_ev_fu=28.8 volume_a3_per_atom=27.9 formation_energy_ev_per_atom=-0.51 space_group="P2_1/c (14)" crystal_system=monoclinic pbc="T T T"
Ce 1.053 -7.174 8.915
Ce -0.195 -4.229 6.330
Ce -3.566 -1.726 4.991
Ce -2.863 -6.812 6.853
Ce -6.233 -4.308 5.514
Ce -7.482 -1.363 2.930
Ce -1.879 -4.653 3.229
Ce -3.088 1.018 5.610
Ce 1.607 -6.325 5.624
Ce -8.036 -2.213 6.220
Ce -3.340 -9.556 6.235
Ce -4.549 -3.885 8.615
Sn -5.782 -6.906 8.230
Sn -4.570 0.058 2.659
Sn -0.647 -1.632 3.614
Sn -4.877 -3.293 2.397
Sn 1.356 -4.327 3.263
Sn -1.551 -5.244 9.447
Pt -3.214 -4.269 5.922
Pt 0.000 0.000 0.000

=====

41
Lattice="10.786 0.000 0.000 -3.595 10.169 0.000 -3.595 -5.085 8.807" Properties=species:S:1:pos:R:3 comment="PBE Ce4Sn25Pt12, relaxed" e_tot_ev_per_atom=-5.360 magnetic_moment_mub_per_fu=3.4 dos_at_fermi_per_ev_fu=24.3 volume_a3_per_atom=23.6 formation_energy_ev_per_atom=-0.57 space_group="Im-3 (204)" crystal_system=cubic pbc="T T T"
Ce -1.798 5.085 0.000
Ce -1.798 -2.542 4.403
Ce 1.798 2.542 4.403
Ce 5.393 0.000 0.000
Sn 2.688 1.930 7.726
Sn 1.771 -1.253 8.747
Sn -4.519 3.195 7.696
Sn -0.907 0.641 3.272
Sn 0.049 -0.034 6.637
Sn 0.000 0.000 0.000
Sn -2.688 7.656 2.192
Sn 0.924 5.102 6.615
Sn 2.672 -0.017 2.192
Sn 6.284 -2.571 6.615
Sn -0.049 5.731 3.349
Sn -0.924 -3.178 7.726
Sn -3.547 0.681 5.518
Sn 7.142 4.404 3.289
Sn 0.907 3.155 1.081
Sn 3.644 -0.646 5.458
Sn 8.114 1.889 1.111
Sn -1.824 3.117 5.518
Sn 4.519 8.263 1.081
Sn 5.419 1.968 3.289
Sn 5.367 -1.864 3.349
Sn -1.771 6.949 5.458
Sn 4.502 4.443 5.535
Sn 1.824 6.337 0.060
Sn 3.547 5.119 2.170
Pt 3.502 2.395 1.477
Pt -2.505 -0.985 7.330
Pt -3.689 5.166 5.995
Pt 1.091 -0.771 4.289
Pt 6.100 6.070 1.477
Pt 4.686 1.756 5.995
Pt -0.094 7.693 1.336
Pt 3.689 -2.608 7.471
Pt 2.505 5.856 4.518
Pt 7.284 -0.081 2.812
Pt -1.091 3.329 2.812
Pt 0.094 2.690 7.330

=====

6
Lattice="-1.271 0.118 -5.288 -3.458 -3.665 -2.049 -4.977 1.536 -1.567" Properties=species:S:1:pos:R:3 comment="PBE CeSnPt4, relaxed" e_tot_ev_per_atom=-6.462 magnetic_moment_mub_per_fu=0.3 dos_at_fermi_per_ev_fu=3.3 e_above_lowest_polymorph_mev_per_atom=14.3 volume_a3_per_atom=19.0 formation_energy_ev_per_atom=-0.78 space_group="F-43m (216)" crystal_system=cubic pbc="T T T"
Ce -2.426 -0.503 -2.226
Pt -3.574 -2.027 -4.782
Pt -4.336 0.580 -4.541
Pt -6.069 -1.258 -5.568
Pt -5.432 -1.317 -2.917
Sn 0.000 0.000 0.000

=====

7
Lattice="4.494 0.000 0.000 2.247 3.892 0.000 2.247 1.297 11.133" Properties=species:S:1:pos:R:3 comment="PBE Ce4SnPt2, relaxed" e_tot_ev_per_atom=-6.351 magnetic_moment_mub_per_fu=4.1 dos_at_fermi_per_ev_fu=19.6 volume_a3_per_atom=27.8 formation_energy_ev_per_atom=-0.66 space_group="R-3m (166)" crystal_system=trigonal pbc="T T T"
Ce 6.742 3.892 10.214
Ce 6.742 3.892 3.727
Ce 2.247 1.297 0.919
Ce 2.247 1.297 7.405
Sn 4.494 2.595 5.566
Pt 4.494 2.595 2.290
Pt 4.494 2.595 8.843

=====

24
Lattice="-1.761 -3.795 0.183 1.558 -1.325 -12.485 9.912 -4.283 6.591" Properties=species:S:1:pos:R:3 comment="PBE Ce11Sn9Pt4, relaxed" e_tot_ev_per_atom=-6.032 magnetic_moment_mub_per_fu=8.8 dos_at_fermi_per_ev_fu=56.8 volume_a3_per_atom=25.8 formation_energy_ev_per_atom=-0.80 space_group="Cmmm (65)" crystal_system=orthorhombic pbc="T T T"
Ce 10.171 -4.778 -1.178
Ce 1.299 -0.830 -4.716
Ce 7.276 -3.753 -7.787
Ce 4.194 -1.855 1.893
Ce 4.660 -2.423 -5.402
Ce 6.810 -3.185 -0.491
Ce 2.902 -1.801 -9.416
Ce 8.568 -3.807 3.523
Ce 0.000 0.000 0.000
Ce 7.949 -3.887 -4.084
Ce 3.521 -1.721 -1.809
Sn 1.630 -3.392 -6.750
Sn 8.079 -6.010 1.040
Sn 5.600 -4.798 2.314
Sn 4.109 -4.604 -8.024
Sn 9.573 -6.925 -3.554
Sn 0.135 -2.477 -2.157
Sn 8.339 -6.488 -6.372
Sn 1.370 -2.914 0.662
Sn 4.854 -4.701 -2.855
Pt 7.462 -5.862 -1.824
Pt 2.246 -3.540 -3.887
Pt 5.767 -5.262 -5.695
Pt 3.942 -4.141 -0.015

=====

8
Lattice="-3.796 2.178 -4.387 -4.114 -4.130 -5.138 -5.109 -1.045 2.466" Properties=species:S:1:pos:R:3 comment="PBE Ce6SnPt, relaxed" e_tot_ev_per_atom=-6.032 magnetic_moment_mub_per_fu=1.2 dos_at_fermi_per_ev_fu=21.5 volume_a3_per_atom=26.5 formation_energy_ev_per_atom=-0.33 space_group="P-1 (2)" crystal_system=triclinic pbc="T T T"
Ce -5.226 -1.865 -0.340
Ce -10.121 -2.729 -6.568
Ce -3.358 -0.309 -3.185
Ce -2.898 -0.269 -0.490
Ce -7.793 -1.133 -6.718
Ce -9.662 -2.688 -3.873
Sn -6.510 -1.499 -3.529
Pt 0.000 0.000 0.000

=====

20
Lattice="4.539 0.000 -0.773 0.000 7.408 0.000 -0.015 0.000 13.623" Properties=species:S:1:pos:R:3 comment="PBE Ce2Sn5Pt3, relaxed" e_tot_ev_per_atom=-5.756 magnetic_moment_mub_per_fu=1.9 dos_at_fermi_per_ev_fu=13.5 volume_a3_per_atom=22.9 formation_energy_ev_per_atom=-0.76 space_group="Cmc2_1 (36)" crystal_system=orthorhombic pbc="T T T"
Ce 2.154 5.597 12.643
Ce 0.770 5.423 4.519
Ce 3.754 1.719 8.331
Ce 2.371 1.893 0.207
Sn 1.815 2.886 10.656
Sn 1.305 3.763 7.662
Sn 3.219 0.059 5.188
Sn 0.540 1.901 3.171
Sn 1.332 6.922 7.818
Sn 4.304 0.677 11.557
Sn 3.192 3.218 5.032
Sn 3.984 5.605 9.679
Sn 0.220 4.381 1.293
Sn 2.709 6.590 2.194
Pt 3.525 5.290 6.984
Pt 2.741 3.779 2.384
Pt 0.223 7.209 1.312
Pt 0.999 1.586 5.866
Pt 4.301 3.505 11.538
Pt 1.783 0.075 10.466